(1)
Computed, not measured: an optimized crystal structure of Mn2PtWI at the PBE-GGA level of DFT.

a b c (Å): 4.473 4.473 4.891
angles (deg): 90.00 90.00 90.00
Fractional positions:
1 Mn 0.000 0.500 0.000
2 Mn 0.500 0.000 0.000
3 Pt 0.000 0.000 0.500
4 W 0.500 0.500 0.500
5 I 0.500 0.500 0.000

Properties
Symmetry   P4/mmm, No. 123
Formation energy from raw total energies   2.233 eV per atom

(2)
Computed, not measured: an optimized crystal structure of BaPm3Fe at the PBE-GGA level of DFT.

a b c (Å): 5.561 5.561 5.561
angles (deg): 90.00 90.00 90.00
Fractional positions:
1 Ba 0.000 0.000 0.000
2 Pm 0.000 0.500 0.500
3 Pm 0.500 0.000 0.500
4 Pm 0.500 0.500 0.000
5 Fe 0.500 0.500 0.500

Properties
Symmetry   Pm-3m, No. 221
E   -4.753 eV per atom

(3)
Computed, not measured: an optimized crystal structure of Ca2Mg2Zn at the PBE-GGA level of DFT.

a b c (Å): 6.626 3.548 12.630
angles (deg): 90.00 104.32 90.00
Fractional positions:
1 Ca 0.062 0.250 0.369
2 Ca 0.216 0.750 0.929
3 Ca 0.784 0.250 0.071
4 Ca 0.938 0.750 0.631
5 Mg 0.333 0.250 0.170
6 Mg 0.410 0.750 0.581
7 Mg 0.590 0.250 0.419
8 Mg 0.667 0.750 0.830
9 Zn 0.327 0.250 0.742
10 Zn 0.673 0.750 0.258

Properties
Energy relative to the lowest polymorph listed for this composition   2.36 kcal/mol of atoms
Symmetry   P2_1/m, No. 11

(4)
Computed, not measured: an optimized crystal structure of CrIrS2Cl at the PBE-GGA level of DFT.

a b c (Å): 4.666 4.666 4.820
angles (deg): 90.00 90.00 90.00
Fractional positions:
1 Cr 0.000 0.000 0.000
2 Ir 0.500 0.500 0.500
3 S 0.000 0.500 0.500
4 S 0.500 0.000 0.500
5 Cl 0.500 0.500 0.000

Properties
Energy relative to the lowest polymorph listed for this composition   0.00 kcal/mol of atoms
Symmetry   P4/mmm, No. 123
Formation energy from raw total energies   0.504 eV per atom

(5)
Computed, not measured: an optimized crystal structure of NdHfF7 at the PBE-GGA level of DFT.

a b c (Å): 6.248 5.902 8.465
angles (deg): 90.00 102.63 90.00
Fractional positions:
1 Nd 0.157 0.000 0.189
2 Nd 0.843 0.500 0.811
3 Hf 0.312 0.008 0.724
4 Hf 0.688 0.508 0.276
5 F 0.050 0.696 0.021
6 F 0.074 0.775 0.709
7 F 0.097 0.266 0.707
8 F 0.268 0.002 0.483
9 F 0.356 0.016 0.966
10 F 0.447 0.275 0.255
11 F 0.454 0.745 0.267
12 F 0.546 0.245 0.733
13 F 0.553 0.775 0.745
14 F 0.644 0.516 0.034
15 F 0.732 0.502 0.517
16 F 0.903 0.766 0.293
17 F 0.926 0.275 0.291
18 F 0.950 0.196 0.979

Properties
Symmetry   P2_1, No. 4
Formation energy from raw total energies   -3.979 eV per atom

(6)
Computed, not measured: an optimized crystal structure of Eu2MgSn at the PBE-GGA level of DFT.

a b c (Å): 5.570 5.570 5.570
angles (deg): 60.00 60.00 60.00
Fractional positions:
1 Eu 0.250 0.250 0.250
2 Eu 0.750 0.750 0.750
3 Mg 0.000 0.000 0.000
4 Sn 0.500 0.500 0.500

Properties
Symmetry   Fm-3m, No. 225
E   -6.991 eV per atom

(7)
Computed, not measured: an optimized crystal structure of Cu3AgCl9 at the PBE-GGA level of DFT.

a b c (Å): 10.257 10.257 12.587
angles (deg): 121.78 121.78 40.42
Fractional positions:
1 Cu 0.073 0.927 0.500
2 Cu 0.260 0.507 0.604
3 Cu 0.507 0.260 0.104
4 Cu 0.516 0.705 0.420
5 Cu 0.705 0.516 0.920
6 Cu 0.927 0.073 0.000
7 Ag 0.011 0.492 0.769
8 Ag 0.492 0.011 0.269
9 Cl 0.022 0.838 0.592
10 Cl 0.057 0.178 0.190
11 Cl 0.170 0.968 0.407
12 Cl 0.178 0.057 0.690
13 Cl 0.185 0.361 0.614
14 Cl 0.320 0.410 0.940
15 Cl 0.361 0.185 0.114
16 Cl 0.410 0.320 0.440
17 Cl 0.436 0.536 0.808
18 Cl 0.536 0.436 0.308
19 Cl 0.579 0.704 0.098
20 Cl 0.618 0.833 0.420
21 Cl 0.704 0.579 0.598
22 Cl 0.833 0.618 0.920
23 Cl 0.838 0.022 0.092
24 Cl 0.843 0.921 0.814
25 Cl 0.921 0.843 0.314
26 Cl 0.968 0.170 0.907

Properties
Symmetry   Cc, No. 9
Formation energy from raw total energies   -0.350 eV per atom

(8)
Computed, not measured: an optimized crystal structure of CsHgPb3 at the PBE-GGA level of DFT.

a b c (Å): 6.597 8.271 7.953
angles (deg): 90.00 90.23 90.00
Fractional positions:
1 Cs 0.247 0.000 0.180
2 Cs 0.753 0.500 0.820
3 Hg 0.251 0.319 0.600
4 Hg 0.749 0.819 0.400
5 Pb 0.001 0.521 0.298
6 Pb 0.252 0.692 0.605
7 Pb 0.497 0.523 0.295
8 Pb 0.503 0.023 0.705
9 Pb 0.748 0.192 0.395
10 Pb 0.999 0.021 0.702

Properties
Energy relative to the lowest polymorph listed for this composition   1.56 kcal/mol of atoms
Symmetry   P2_1, No. 4

| no. | M_tot (Bohr magnetons per cell) |
| --- | --- |
| 1 | 0.1 |
| 2 | 0.0 |
| 3 | 0.0 |
| 4 | 3.6 |
| 5 | 0.1 |
| 6 | 14.1 |
| 7 | 0.6 |
| 8 | 0.0 |